[1]
Below is a relaxed structure of Rb3PtSe, with properties calculated at the GGA-PBE level.

a b c (Å): 6.4961 6.4961 6.4961
angles (deg): 90.00 90.00 90.00
With the nearest neighbours (Å) after each atom.
Space group Pm-3m (No. 221)
Unique sites:
Rb  0.0000  0.0000  0.5000 x3  2 Se 3.25
Pt  0.5000  0.5000  0.5000 x1  12 Rb 4.59
Se  0.0000  0.0000  0.0000 x1  6 Rb 3.25

Results
Uncorrected energy: -12.90 eV/cell
Formation energy without anion corrections: -9.1 kJ per mole of atoms

---

[2]
Below is a relaxed structure of RbPtSe, with properties calculated at the GGA-PBE level.

a b c (Å): 4.2678 4.2678 5.4237
angles (deg): 90.00 90.00 120.00
With the nearest neighbours (Å) after each atom.
Space group P-6m2 (No. 187)
Unique sites:
Rb  0.0000  0.0000  0.0000 x1  6 Pt 3.66, 6 Se 3.66
Pt  0.6667  0.3333  0.5000 x1  3 Se 2.46
Se  0.3333  0.6667  0.5000 x1  3 Pt 2.46

Results
Uncorrected energy: -12.20 eV/cell
Formation energy without anion corrections: -54.9 kJ per mole of atoms

---

[3]
Below is a relaxed structure of RbPtSe, with properties calculated at the GGA-PBE level.

a b c (Å): 5.4063 6.5320 7.5070
angles (deg): 70.69 89.95 65.57
With the nearest neighbours (Å) after each atom.
Space group P-1 (No. 2)
Unique sites:
Rb  0.1789  0.1426  0.2557 x2  4 Se 3.57-3.60, 4 Pt 3.58-3.80
Pt  0.2682  0.5000  0.5000 x2  2 Se 2.41-2.42, 1 Pt 2.51
Se  0.1229  0.2539  0.7528 x2  2 Pt 2.41-2.42

Results
Uncorrected energy: -24.10 eV/cell
Formation energy without anion corrections: -50.0 kJ per mole of atoms

---

[4]
Below is a relaxed structure of RbPtSe2, with properties calculated at the GGA-PBE level.

a b c (Å): 7.1294 7.1294 7.1294
angles (deg): 90.00 90.00 90.00
With the nearest neighbours (Å) after each atom.
Space group Fm-3m (No. 225)
Unique sites:
Rb  0.0000  0.0000  0.0000 x4  8 Se 3.09
Pt  0.0000  0.0000  0.5000 x4  8 Se 3.09
Se  0.2500  0.2500  0.2500 x8  4 Rb 3.09, 4 Pt 3.09

Results
Uncorrected energy: -51.54 eV/cell
Formation energy without anion corrections: 26.3 kJ per mole of atoms

---

[5]
Below is a relaxed structure of Rb2PtSe2, with properties calculated at the GGA-PBE level.

a b c (Å): 3.8450 7.6781 10.3132
angles (deg): 90.00 90.00 90.00
With the nearest neighbours (Å) after each atom.
Space group Immm (No. 71)
Unique sites:
Rb  0.0000  0.0000  0.1980 x4  6 Se 3.51-3.57, 2 Pt 3.66, 2 Rb 3.84
Pt  0.0000  0.5000  0.0000 x2  4 Se 2.52
Se  0.0000  0.2116  0.5000 x4  2 Pt 2.52

Results
Uncorrected energy: -38.88 eV/cell
Formation energy without anion corrections: -86.7 kJ per mole of atoms

---

[6]
Below is a relaxed structure of RbPtSe, with properties calculated at the GGA-PBE level.

a b c (Å): 7.8670 6.9268 5.8772
angles (deg): 90.00 90.43 90.00
With the nearest neighbours (Å) after each atom.
Space group Cm (No. 8)
Unique sites:
Rb  0.0000  0.2500  0.0000 x4  4 Se 3.43, 2 Rb 3.46, 4 Pt 3.54-3.57
Pt  0.2509  0.1971  0.5001 x4  4 Se 2.64-2.70, 1 Pt 2.73
Se  0.0476  0.5000  0.5005 x2  4 Pt 2.64-2.70
Se  0.4545  0.5000  0.4995 x2  4 Pt 2.64-2.70

Results
Uncorrected energy: -47.01 eV/cell
Formation energy without anion corrections: -40.5 kJ per mole of atoms

---

formation energy without anion corrections of number 4 (RbPtSe2)?
26.3 kJ per mole of atoms

---

Among the records above, which one has the highest uncorrected energy?
number 2

---

What is the uncorrected energy in the fourth record?
-51.54 eV/cell

---

What is the formula in the second record?
RbPtSe